SrAgIO2 (PBE, relaxed); offset from the most stable computed form = 0.000 eV/f.u.; crystal system = tetragonal; formation energy from raw total energies = -0.482 eV per atom; V = 107.2 Å³ per cell; E = -3.682 eV per atom
1.0
4.4952 0.0000 0.0000
0.0000 4.4952 0.0000
0.0000 0.0000 5.3070
Sr Ag I O
1 1 1 2
Direct
0.0000 0.0000 0.0000 Sr
0.5000 0.5000 0.5000 Ag
0.5000 0.5000 0.0000 I
0.0000 0.5000 0.5000 O
0.5000 0.0000 0.5000 O

---

KZnNi2 (PBE, relaxed); offset from the most stable computed form = 0.792 eV/f.u.; crystal system = orthorhombic; V = 70.7 Å³ per cell; energy of formation from the pure elements = 0.51 eV/atom; E = -2.978 eV per atom
1.0
-1.3268 2.5906 5.1439
1.3268 -2.5906 5.1439
1.3268 2.5906 -5.1439
K Zn Ni
1 1 2
Direct
0.0000 0.0000 0.0000 K
0.6977 0.1977 0.5000 Zn
0.2971 0.7971 0.5000 Ni
0.4906 0.4906 0.0000 Ni

---

Sr2Ga3Ag4Pd (PBE, relaxed); crystal system = tetragonal; V = 222.9 Å³ per cell; energy of formation from the pure elements = -0.29 eV/atom; E = -3.198 eV per atom
1.0
4.4188 0.0000 0.0000
0.0000 4.4188 0.0000
0.0000 0.0000 11.4146
Sr Ga Ag Pd
2 3 4 1
Direct
0.0000 0.5000 0.2430 Sr
0.5000 0.0000 0.7570 Sr
0.0000 0.0000 0.0000 Ga
0.0000 0.5000 0.6311 Ga
0.5000 0.0000 0.3689 Ga
0.0000 0.0000 0.5000 Ag
0.0000 0.5000 0.8588 Ag
0.5000 0.0000 0.1412 Ag
0.5000 0.5000 0.5000 Ag
0.5000 0.5000 0.0000 Pd

---

CaPr4Tm4 (PBE, relaxed); crystal system = tetragonal; V = 302.9 Å³ per cell; energy of formation from the pure elements = 0.04 eV/atom; E = -4.290 eV per atom
1.0
-5.4379 5.4379 2.5605
5.4379 -5.4379 2.5605
5.4379 5.4379 -2.5605
Ca Pr Tm
1 4 4
Direct
0.0000 0.0000 0.0000 Ca
0.3271 0.3271 0.6542 Pr
0.3271 0.6729 0.0000 Pr
0.6729 0.3271 0.0000 Pr
0.6729 0.6729 0.3458 Pr
0.0000 0.3407 0.3407 Tm
0.0000 0.6593 0.6593 Tm
0.3407 0.0000 0.3407 Tm
0.6593 0.0000 0.6593 Tm

---

SrNbP3 (PBE, relaxed); offset from the most stable computed form = 11.229 eV/f.u.; crystal system = cubic; V = 132.0 Å³ per cell; energy of formation from the pure elements = 1.81 eV/atom; E = -3.784 eV per atom
1.0
5.0919 0.0000 0.0000
0.0000 5.0919 0.0000
0.0000 0.0000 5.0919
Sr Nb P
1 1 3
Direct
0.0000 0.0000 0.0000 Sr
0.5000 0.5000 0.5000 Nb
0.0000 0.0000 0.5000 P
0.0000 0.5000 0.0000 P
0.5000 0.0000 0.0000 P

---

Er2CoPd (PBE, relaxed); crystal system = tetragonal; V = 77.7 Å³ per cell; energy of formation from the pure elements = -0.57 eV/atom; E = -5.929 eV per atom
1.0
3.3710 0.0000 0.0000
0.0000 3.3710 0.0000
0.0000 0.0000 6.8400
Er Co Pd
2 1 1
Direct
0.0000 0.0000 0.2368 Er
0.0000 0.0000 0.7632 Er
0.5000 0.5000 0.0000 Co
0.5000 0.5000 0.5000 Pd

---

CaTc3Pb (PBE, relaxed); offset from the most stable computed form = 2.075 eV/f.u.; crystal system = cubic; V = 109.3 Å³ per cell; energy of formation from the pure elements = 2.29 eV/atom; E = -5.071 eV per atom
1.0
4.7810 0.0000 0.0000
0.0000 4.7810 0.0000
0.0000 0.0000 4.7810
Ca Tc Pb
1 3 1
Direct
0.0000 0.0000 0.0000 Ca
0.0000 0.0000 0.5000 Tc
0.0000 0.5000 0.0000 Tc
0.5000 0.0000 0.0000 Tc
0.5000 0.5000 0.5000 Pb

---

CdPtCl2 (PBE, relaxed); offset from the most stable computed form = 1.176 eV/f.u.; crystal system = tetragonal; formation energy from raw total energies = -0.145 eV per atom; V = 93.8 Å³ per cell; E = -2.807 eV per atom
1.0
3.7051 0.0000 0.0000
0.0000 3.7051 0.0000
0.0000 0.0000 6.8352
Cd Pt Cl
1 1 2
Direct
0.0000 0.0000 0.0000 Cd
0.5000 0.5000 0.8689 Pt
0.0000 0.0000 0.6145 Cl
0.5000 0.5000 0.2129 Cl

---

Pm4SmDy (PBE, relaxed); offset from the most stable computed form = 1.179 eV/f.u.; crystal system = cubic; V = 210.2 Å³ per cell; energy of formation from the pure elements = 0.26 eV/atom; E = -4.460 eV per atom
1.0
0.0000 4.7191 4.7191
4.7191 0.0000 4.7191
4.7191 4.7191 0.0000
Pm Sm Dy
4 1 1
Direct
0.1246 0.1246 0.1246 Pm
0.1246 0.1246 0.6262 Pm
0.1246 0.6262 0.1246 Pm
0.6262 0.1246 0.1246 Pm
0.5000 0.5000 0.5000 Sm
0.7500 0.7500 0.7500 Dy

---

SrThTl2 (PBE, relaxed); crystal system = tetragonal; V = 124.9 Å³ per cell; energy of formation from the pure elements = -0.24 eV/atom; E = -3.701 eV per atom
1.0
3.6931 0.0000 0.0000
0.0000 3.6931 0.0000
0.0000 0.0000 9.1576
Sr Th Tl
1 1 2
Direct
0.0000 0.0000 0.0000 Sr
0.0000 0.0000 0.5000 Th
0.5000 0.5000 0.2573 Tl
0.5000 0.5000 0.7427 Tl

---

LiSbAs (PBE, relaxed); crystal system = triclinic; formation energy from raw total energies = -0.255 eV per atom; V = 143.4 Å³ per cell; E = -3.817 eV per atom
1.0
4.9626 0.0000 0.0000
-0.9371 4.8793 0.0000
-0.6741 -1.9118 5.9206
Li Sb As
2 2 2
Direct
0.1999 0.3078 0.0321 Li
0.8001 0.6922 0.9679 Li
0.2156 0.8120 0.4774 Sb
0.7844 0.1880 0.5226 Sb
0.3101 0.7797 0.8934 As
0.6899 0.2203 0.1066 As

---

La3Cu3Si (PBE, relaxed); crystal system = monoclinic; formation energy from raw total energies = -0.325 eV per atom; V = 325.8 Å³ per cell; E = -4.967 eV per atom
1.0
5.3504 -2.1422 0.0000
5.3504 2.1422 0.0000
-5.1172 0.0000 14.2143
La Cu Si
6 6 2
Direct
0.0427 0.0427 0.3930 La
0.1002 0.1002 0.9192 La
0.2611 0.2611 0.2384 La
0.7389 0.7389 0.7616 La
0.8998 0.8998 0.0808 La
0.9573 0.9573 0.6070 La
0.3563 0.3563 0.4597 Cu
0.3992 0.3992 0.9217 Cu
0.4417 0.4417 0.7621 Cu
0.5583 0.5583 0.2379 Cu
0.6008 0.6008 0.0783 Cu
0.6437 0.6437 0.5403 Cu
0.2511 0.2511 0.6061 Si
0.7489 0.7489 0.3939 Si

---

Ac3DyTh2Sb6 (PBE, relaxed); crystal system = monoclinic; formation energy from raw total energies = -1.102 eV per atom; V = 420.3 Å³ per cell; E = -5.810 eV per atom
1.0
3.9940 -6.9243 0.0000
3.9940 6.9243 0.0000
-2.6651 0.0000 7.5990
Ac Dy Th Sb
3 1 2 6
Direct
0.0000 0.0000 0.0000 Ac
0.3321 0.6679 0.0000 Ac
0.6679 0.3321 0.0000 Ac
0.5000 0.5000 0.5000 Dy
0.1662 0.8338 0.5000 Th
0.8338 0.1662 0.5000 Th
0.0938 0.4236 0.2703 Sb
0.2476 0.2476 0.7316 Sb
0.4236 0.0938 0.2703 Sb
0.5764 0.9062 0.7297 Sb
0.7524 0.7524 0.2684 Sb
0.9062 0.5764 0.7297 Sb

---

PuIrRu (PBE, relaxed); offset from the most stable computed form = 0.789 eV/f.u.; crystal system = monoclinic; V = 105.6 Å³ per cell; energy of formation from the pure elements = -0.11 eV/atom; E = -10.928 eV per atom
1.0
4.2808 -2.7644 0.0000
4.2808 2.7644 0.0000
-1.8836 0.0000 4.4623
Pu Ir Ru
2 2 2
Direct
0.1123 0.1123 0.3577 Pu
0.8877 0.8877 0.6423 Pu
0.0000 0.5000 0.0000 Ir
0.5000 0.0000 0.0000 Ir
0.4442 0.4442 0.7169 Ru
0.5558 0.5558 0.2831 Ru

---

Ca2PtAu (PBE, relaxed); crystal system = monoclinic; V = 105.9 Å³ per cell; energy of formation from the pure elements = -0.70 eV/atom; E = -4.026 eV per atom
1.0
3.6218 -2.0770 0.0000
3.6218 2.0770 0.0000
-2.3827 0.0000 7.0368
Ca Pt Au
2 1 1
Direct
0.2429 0.2429 0.2287 Ca
0.7571 0.7571 0.7713 Ca
0.5000 0.5000 0.0000 Pt
0.0000 0.0000 0.5000 Au

---

SiAsSe4 (PBE, relaxed); offset from the most stable computed form = 6.145 eV/f.u.; crystal system = cubic; formation energy from raw total energies = 0.869 eV per atom; V = 126.9 Å³ per cell; E = -3.132 eV per atom
1.0
0.0000 3.9888 3.9888
3.9888 0.0000 3.9888
3.9888 3.9888 0.0000
Si As Se
1 1 4
Direct
0.0000 0.0000 0.0000 Si
0.7500 0.7500 0.7500 As
0.3752 0.3752 0.3752 Se
0.3752 0.3752 0.8745 Se
0.3752 0.8745 0.3752 Se
0.8745 0.3752 0.3752 Se

---

Fe3Pd6Rh2 (PBE, relaxed); crystal system = orthorhombic; V = 161.5 Å³ per cell; energy of formation from the pure elements = 0.05 eV/atom; E = -6.430 eV per atom
1.0
-1.3487 2.1647 13.8282
1.3487 -2.1647 13.8282
1.3487 2.1647 -13.8282
Fe Pd Rh
3 6 2
Direct
0.0000 0.0000 0.0000 Fe
0.1841 0.1841 0.0000 Fe
0.8159 0.8159 0.0000 Fe
0.0969 0.5969 0.5000 Pd
0.2765 0.2765 0.0000 Pd
0.3665 0.8665 0.5000 Pd
0.6335 0.1335 0.5000 Pd
0.7235 0.7235 0.0000 Pd
0.9031 0.4031 0.5000 Pd
0.4559 0.4559 0.0000 Rh
0.5441 0.5441 0.0000 Rh

---

LuHIr (PBE, relaxed); offset from the most stable computed form = 1.001 eV/f.u.; crystal system = hexagonal; V = 44.0 Å³ per cell; E = -5.930 eV per atom
1.0
3.8661 0.0000 0.0000
-1.9330 3.3481 0.0000
0.0000 0.0000 3.3985
Lu H Ir
1 1 1
Direct
0.0000 0.0000 0.0000 Lu
0.3333 0.6667 0.5000 H
0.6667 0.3333 0.5000 Ir

---

ZrHg2Pb (PBE, relaxed); crystal system = tetragonal; V = 93.3 Å³ per cell; energy of formation from the pure elements = -0.05 eV/atom; E = -3.269 eV per atom
1.0
4.4253 0.0000 0.0000
0.0000 4.4253 0.0000
0.0000 0.0000 4.7618
Zr Hg Pb
1 2 1
Direct
0.0000 0.0000 0.0000 Zr
0.0000 0.5000 0.5000 Hg
0.5000 0.0000 0.5000 Hg
0.5000 0.5000 0.0000 Pb

---

ErAgSbPd (PBE, relaxed); crystal system = cubic; formation energy from raw total energies = -0.558 eV per atom; V = 82.5 Å³ per cell; E = -4.740 eV per atom
1.0
0.0000 3.4547 3.4547
3.4547 0.0000 3.4547
3.4547 3.4547 0.0000
Er Ag Sb Pd
1 1 1 1
Direct
0.0000 0.0000 0.0000 Er
0.2500 0.2500 0.2500 Ag
0.5000 0.5000 0.5000 Sb
0.7500 0.7500 0.7500 Pd